# 1
{
  "formula": "NpPbAu4",
  "functional": "GGA-PBE",
  "state": "relaxed",
  "formation_energy_ev_per_atom": -0.07,
  "magnetic_moment_mub_per_fu": 4.39,
  "cell": [[0.000, 4.027, 4.027], [4.027, 0.000, 4.027], [4.027, 4.027, 0.000]],
  "species": ["Np", "Pb", "Au", "Au", "Au", "Au"],
  "fractional_positions": [[0.000, 0.000, 0.000], [0.250, 0.250, 0.250], [0.124, 0.625, 0.625], [0.625, 0.124, 0.625], [0.625, 0.625, 0.124], [0.625, 0.625, 0.625]]
}

***

# 2
{
  "formula": "MnHg2Os",
  "functional": "GGA-PBE",
  "state": "relaxed",
  "formation_energy_ev_per_atom": 0.76,
  "e_above_lowest_polymorph_mev_per_atom": 378,
  "magnetic_moment_mub_per_fu": 4.61,
  "cell": [[2.939, 0.000, 0.000], [0.000, 2.939, 0.000], [0.000, 0.000, 8.135]],
  "species": ["Mn", "Hg", "Hg", "Os"],
  "fractional_positions": [[0.000, 0.000, 0.000], [0.500, 0.500, 0.247], [0.500, 0.500, 0.753], [0.000, 0.000, 0.500]]
}

***

# 3
{
  "formula": "Pm2Tm3Pb3",
  "functional": "GGA-PBE",
  "state": "relaxed",
  "formation_energy_ev_per_atom": -0.33,
  "magnetic_moment_mub_per_fu": 0.00,
  "cell": [[-2.224, 2.441, 10.639], [2.224, -2.441, 10.639], [2.224, 2.441, -10.639]],
  "species": ["Pm", "Pm", "Tm", "Tm", "Tm", "Pb", "Pb", "Pb"],
  "fractional_positions": [[0.244, 0.244, 0.000], [0.756, 0.756, 0.000], [0.000, 0.000, 0.000], [0.380, 0.880, 0.500], [0.620, 0.120, 0.500], [0.127, 0.627, 0.500], [0.500, 0.500, 0.000], [0.873, 0.373, 0.500]]
}